No. 1
Compound: TlAg3F6
Source: Alexandria
Functional: PBE
Structure: relaxed

Calculated values
E above lowest polymorph ... 50.5 meV/atom
Total moment ... 0.00 μB per cell
ΔE_f (raw) ... -12.8 eV per formula unit
Volume ... 17.109 A^3/atom
Crystal system ... orthorhombic

a = 6.921 Å, b = 6.921 Å, c = 3.915 Å
α = 90.00°, β = 90.00°, γ = 114.16°
Fractional positions:
Tl1 0.000 0.000 0.000
Ag1 0.000 0.500 0.500
Ag2 0.500 0.000 0.500
Ag3 0.500 0.500 0.000
F1 0.112 0.888 0.500
F2 0.132 0.366 0.000
F3 0.366 0.132 0.000
F4 0.634 0.868 0.000
F5 0.868 0.634 0.000
F6 0.888 0.112 0.500



No. 2
Compound: TlAg2F8
Source: Alexandria
Functional: PBE
Structure: relaxed

Calculated values
E above lowest polymorph ... 177.7 meV/atom
Total moment ... 0.00 μB per cell
ΔE_f (raw) ... -12.4 eV per formula unit
Volume ... 17.345 A^3/atom
Crystal system ... monoclinic

a = 7.219 Å, b = 7.219 Å, c = 4.118 Å
α = 98.42°, β = 98.42°, γ = 64.51°
Fractional positions:
Tl1 0.000 0.000 0.000
Ag1 0.262 0.262 0.811
Ag2 0.738 0.738 0.189
F1 0.069 0.728 0.229
F2 0.243 0.243 0.306
F3 0.272 0.931 0.771
F4 0.426 0.426 0.865
F5 0.574 0.574 0.135
F6 0.728 0.069 0.229
F7 0.757 0.757 0.694
F8 0.931 0.272 0.771



No. 3
Compound: Tl4AgF12
Source: Alexandria
Functional: PBE
Structure: relaxed

Calculated values
Total moment ... 0.00 μB per cell
ΔE_f (raw) ... -29.2 eV per formula unit
Volume ... 18.949 A^3/atom
Crystal system ... orthorhombic

a = 7.481 Å, b = 7.481 Å, c = 7.481 Å
α = 110.92°, β = 108.83°, γ = 108.67°
Fractional positions:
Tl1 0.000 0.000 0.500
Tl2 0.000 0.500 0.000
Tl3 0.500 0.000 0.000
Tl4 0.500 0.500 0.500
Ag1 0.000 0.000 0.000
F1 0.002 0.700 0.302
F2 0.236 0.186 0.422
F3 0.236 0.814 0.051
F4 0.249 0.063 0.814
F5 0.249 0.435 0.186
F6 0.398 0.700 0.698
F7 0.602 0.300 0.302
F8 0.751 0.565 0.814
F9 0.751 0.937 0.186
F10 0.764 0.186 0.949
F11 0.764 0.814 0.578
F12 0.998 0.300 0.698



No. 4
Compound: TlAgF3
Source: Alexandria
Functional: PBE
Structure: relaxed

Calculated values
E above lowest polymorph ... 65.8 meV/atom
Total moment ... 0.00 μB per cell
ΔE_f (raw) ... -7.2 eV per formula unit
Volume ... 17.321 A^3/atom
Crystal system ... orthorhombic

a = 6.305 Å, b = 8.922 Å, c = 6.158 Å
α = 90.00°, β = 90.00°, γ = 90.00°
Fractional positions:
Tl1 0.000 0.000 0.000
Tl2 0.000 0.500 0.000
Tl3 0.500 0.000 0.500
Tl4 0.500 0.500 0.500
Ag1 0.067 0.250 0.480
Ag2 0.433 0.750 0.980
Ag3 0.567 0.250 0.020
Ag4 0.933 0.750 0.520
F1 0.072 0.750 0.136
F2 0.185 0.576 0.681
F3 0.185 0.924 0.681
F4 0.315 0.076 0.181
F5 0.315 0.424 0.181
F6 0.428 0.250 0.636
F7 0.572 0.750 0.364
F8 0.685 0.576 0.819
F9 0.685 0.924 0.819
F10 0.815 0.076 0.319
F11 0.815 0.424 0.319
F12 0.928 0.250 0.864



No. 5
Compound: TlAgF3
Source: Alexandria
Functional: PBE
Structure: relaxed

Calculated values
E above lowest polymorph ... 334.8 meV/atom
Total moment ... 0.44 μB per cell
ΔE_f (raw) ... -5.8 eV per formula unit
Volume ... 17.953 A^3/atom
Crystal system ... orthorhombic

a = 6.670 Å, b = 6.670 Å, c = 5.345 Å
α = 90.00°, β = 90.00°, γ = 130.99°
Fractional positions:
Tl1 0.064 0.936 0.750
Tl2 0.936 0.064 0.250
Ag1 0.357 0.643 0.750
Ag2 0.643 0.357 0.250
F1 0.048 0.454 0.250
F2 0.454 0.048 0.750
F3 0.500 0.500 0.000
F4 0.500 0.500 0.500
F5 0.546 0.952 0.250
F6 0.952 0.546 0.750



No. 6
Compound: TlAg2F8
Source: Alexandria
Functional: PBE
Structure: relaxed

Calculated values
E above lowest polymorph ... 0.0 meV/atom
Total moment ... 1.05 μB per cell
ΔE_f (raw) ... -14.3 eV per formula unit
Volume ... 15.366 A^3/atom
Crystal system ... tetragonal

a = 6.626 Å, b = 6.626 Å, c = 6.626 Å
α = 129.47°, β = 129.47°, γ = 74.25°
Fractional positions:
Tl1 0.000 0.000 0.000
Ag1 0.250 0.750 0.500
Ag2 0.750 0.250 0.500
F1 0.053 0.583 0.872
F2 0.180 0.053 0.469
F3 0.289 0.417 0.469
F4 0.417 0.947 0.128
F5 0.583 0.711 0.531
F6 0.711 0.180 0.128
F7 0.820 0.289 0.872
F8 0.947 0.820 0.531



No. 7
Compound: TlAg3F8
Source: Alexandria
Functional: PBE
Structure: relaxed

Calculated values
E above lowest polymorph ... 168.7 meV/atom
Total moment ... 2.09 μB per cell
ΔE_f (raw) ... -13.7 eV per formula unit
Volume ... 19.698 A^3/atom
Crystal system ... trigonal

a = 6.462 Å, b = 6.462 Å, c = 6.537 Å
α = 90.00°, β = 90.00°, γ = 120.00°
Fractional positions:
Tl1 0.000 0.000 0.000
Ag1 0.000 0.000 0.500
Ag2 0.333 0.667 0.330
Ag3 0.667 0.333 0.670
F1 0.144 0.288 0.229
F2 0.144 0.856 0.229
F3 0.288 0.144 0.771
F4 0.333 0.667 0.641
F5 0.667 0.333 0.359
F6 0.712 0.856 0.229
F7 0.856 0.144 0.771
F8 0.856 0.712 0.771



No. 8
Compound: TlAgF3
Source: Alexandria
Functional: PBE
Structure: relaxed

Calculated values
E above lowest polymorph ... 29.9 meV/atom
Total moment ... 0.00 μB per cell
ΔE_f (raw) ... -7.4 eV per formula unit
Volume ... 17.276 A^3/atom
Crystal system ... triclinic

a = 4.488 Å, b = 6.533 Å, c = 6.916 Å
α = 110.09°, β = 104.12°, γ = 103.79°
Fractional positions:
Tl1 0.000 0.000 0.000
Tl2 0.455 0.658 0.225
Ag1 0.299 0.113 0.635
Ag2 0.857 0.355 0.536
F1 0.026 0.770 0.298
F2 0.142 0.605 0.886
F3 0.326 0.417 0.381
F4 0.513 0.345 0.004
F5 0.595 0.017 0.225
F6 0.692 0.913 0.584